No. 1
A plane-wave DFT calculation with GGA-PBE was carried out for crystalline KPdBr at its relaxed geometry.

Properties
Fermi-level density of states, states/eV per cell: 0.0
E_form (uncorrected), eV per atom: -0.583
ΔE to the lowest computed polymorph, eV/f.u.: 0.385

abc: 4.5378 4.5378 9.2331
angles: 90.00 90.00 120.00
Closest atoms and distances in Å follow each position.
Space group P6_3/mmc (No. 194)
Inequivalent atoms, fractional coordinates:
K1 0.0000 0.0000 0.0000  6 Br 3.49, 6 Pd 3.49
Pd1 0.3333 0.6667 0.2500  3 Br 2.62
Br1 0.3333 0.6667 0.7500  3 Pd 2.62

***

No. 2
A plane-wave DFT calculation with GGA-PBE was carried out for crystalline PtWS3 at its relaxed geometry.

Properties
Fermi-level density of states, states/eV per cell: 8.9
E_form (uncorrected), eV per atom: 0.648
ΔE to the lowest computed polymorph, eV/f.u.: 0.000

abc: 4.6408 4.6408 4.6408
angles: 90.00 90.00 90.00
Closest atoms and distances in Å follow each position.
Space group Pm-3m (No. 221)
Inequivalent atoms, fractional coordinates:
Pt1 0.0000 0.0000 0.0000  12 S 3.28
W1 0.5000 0.5000 0.5000  6 S 2.32
S1 0.0000 0.5000 0.5000  2 W 2.32

***

No. 3
A plane-wave DFT calculation with GGA-PBE was carried out for crystalline KNp2Te4 at its relaxed geometry.

Properties
Fermi-level density of states, states/eV per cell: 60.2
E_form (uncorrected), eV per atom: -0.716
ΔE to the lowest computed polymorph, eV/f.u.: 0.136

abc: 9.2250 9.3002 13.0833
angles: 90.00 90.00 90.00
Closest atoms and distances in Å follow each position.
Space group Imma (No. 74)
Inequivalent atoms, fractional coordinates:
K1 0.2500 0.2500 0.2500  6 Te 3.45-3.46
Np1 0.0000 0.0000 0.0000  6 Te 3.12-3.15
Np2 0.2500 0.2500 0.7500  6 Te 3.11
Te1 0.0000 0.0264 0.7598  3 Np 3.11-3.15, 2 K 3.46
Te2 0.2255 0.2500 0.9870  3 Np 3.11-3.12, 1 K 3.45